Record 1
A plane-wave DFT calculation with PBE-GGA was carried out for RbInSnB2 after structural relaxation.

Computed properties:
- E_form: 1.90 eV per atom
- Total magnetization: 0.00 μB per cell
- DFT total energy: -2.313 eV/atom
- Symmetry: No. 123

Cell lengths 5.626, 5.626, 7.834 Å; angles 90.00, 90.00, 90.00 degrees
Fractional coordinates of all 5 atoms:
1 B 0.000 0.500 0.000
2 B 0.500 0.000 0.000
3 Sn 0.000 0.000 0.000
4 Rb 0.500 0.500 0.500
5 In 0.000 0.000 0.500

***

Record 2
A plane-wave DFT calculation with PBE-GGA was carried out for Nd12ErAl6 after structural relaxation.

Computed properties:
- E_form: -0.13 eV per atom
- Total magnetization: 0.00 μB per cell
- DFT total energy: -4.564 eV/atom
- Symmetry: No. 148

Cell lengths 8.162, 8.162, 8.162 Å; angles 88.14, 88.14, 88.14 degrees
Fractional coordinates of all 19 atoms:
1 Nd 0.811 0.525 0.430
2 Nd 0.430 0.811 0.525
3 Nd 0.525 0.430 0.811
4 Nd 0.189 0.475 0.570
5 Nd 0.570 0.189 0.475
6 Nd 0.475 0.570 0.189
7 Nd 0.040 0.155 0.386
8 Nd 0.845 0.614 0.960
9 Nd 0.614 0.960 0.845
10 Nd 0.960 0.845 0.614
11 Nd 0.155 0.386 0.040
12 Nd 0.386 0.040 0.155
13 Er 0.000 0.000 0.000
14 Al 0.739 0.888 0.259
15 Al 0.741 0.261 0.112
16 Al 0.112 0.741 0.261
17 Al 0.261 0.112 0.741
18 Al 0.259 0.739 0.888
19 Al 0.888 0.259 0.739

***

Record 3
A plane-wave DFT calculation with PBE-GGA was carried out for TiFe2Se after structural relaxation.

Computed properties:
- Total magnetization: 0.00 μB per cell
- DFT total energy: -6.427 eV/atom
- Formation energy without anion corrections: 0.65 eV/atom
- Symmetry: No. 122

Cell lengths 5.728, 5.728, 5.885 Å; angles 60.88, 60.88, 90.00 degrees
Fractional coordinates of all 8 atoms:
1 Fe 0.645 0.125 0.250
2 Fe 0.105 0.625 0.250
3 Fe 0.375 0.355 0.750
4 Fe 0.875 0.895 0.750
5 Se 0.000 0.000 0.000
6 Se 0.750 0.250 0.500
7 Ti 0.500 0.500 0.000
8 Ti 0.250 0.750 0.500

***

Record 4
A plane-wave DFT calculation with PBE-GGA was carried out for AsPC2 after structural relaxation.

Computed properties:
- E_form: 0.78 eV per atom
- Total magnetization: 0.00 μB per cell
- Distance to the lowest polymorph of the same formula: 5.567 kcal/mol of atoms
- DFT total energy: -6.342 eV/atom
- Symmetry: No. 1

Cell lengths 2.975, 4.068, 4.756 Å; angles 80.75, 76.79, 69.82 degrees
Fractional coordinates of all 4 atoms:
1 P 0.599 0.102 0.109
2 As 0.701 0.517 0.628
3 C 0.190 0.851 0.183
4 C 0.328 0.487 0.326

***

Record 5
A plane-wave DFT calculation with PBE-GGA was carried out for LiCaSc2Tl4 after structural relaxation.

Computed properties:
- E_form: -0.26 eV per atom
- Total magnetization: 0.00 μB per cell
- DFT total energy: -3.518 eV/atom
- Symmetry: No. 166

Cell lengths 5.134, 5.134, 9.069 Å; angles 73.56, 73.56, 60.00 degrees
Fractional coordinates of all 8 atoms:
1 Li 0.500 0.500 0.500
2 Ca 0.000 0.000 0.000
3 Sc 0.753 0.753 0.742
4 Sc 0.247 0.247 0.258
5 Tl 0.381 0.381 0.857
6 Tl 0.872 0.872 0.385
7 Tl 0.128 0.128 0.615
8 Tl 0.619 0.619 0.143

***

Record 6
A plane-wave DFT calculation with PBE-GGA was carried out for TbTm2HfAs4 after structural relaxation.

Computed properties:
- E_form: -1.38 eV per atom
- Total magnetization: 0.00 μB per cell
- DFT total energy: -6.647 eV/atom
- Symmetry: No. 10

Cell lengths 4.009, 6.952, 6.946 Å; angles 109.26, 90.00, 90.00 degrees
Fractional coordinates of all 8 atoms:
1 Tb 0.000 0.000 0.000
2 Tm 0.500 0.000 0.500
3 Tm 0.000 0.500 0.500
4 Hf 0.500 0.500 0.000
5 As 0.500 0.259 0.248
6 As 0.500 0.741 0.752
7 As 0.000 0.262 0.758
8 As 0.000 0.738 0.242

***

Record 7
A plane-wave DFT calculation with PBE-GGA was carried out for Li2B3PO8 after structural relaxation.

Computed properties:
- Total magnetization: 0.22 μB per cell
- DFT total energy: -7.318 eV/atom
- Formation energy without anion corrections: -2.39 eV/atom
- Symmetry: No. 2

Cell lengths 8.835, 10.784, 13.454 Å; angles 92.47, 90.47, 90.15 degrees
Fractional coordinates of all 112 atoms:
1 Li 0.882 0.655 0.278
2 Li 0.118 0.345 0.722
3 Li 0.860 0.228 0.741
4 Li 0.140 0.772 0.259
5 Li 0.777 0.726 0.965
6 Li 0.223 0.274 0.035
7 Li 0.745 0.455 0.678
8 Li 0.255 0.545 0.322
9 Li 0.738 0.947 0.181
10 Li 0.262 0.053 0.819
11 Li 0.637 0.458 0.993
12 Li 0.363 0.542 0.007
13 Li 0.569 0.955 0.579
14 Li 0.431 0.045 0.421
15 Li 0.239 0.829 0.596
16 Li 0.761 0.171 0.404
17 B 0.953 0.668 0.603
18 B 0.047 0.332 0.397
19 B 0.884 0.885 0.568
20 B 0.116 0.115 0.432
21 B 0.807 0.983 0.851
22 B 0.193 0.017 0.149
23 B 0.799 0.450 0.383
24 B 0.201 0.550 0.617
25 B 0.700 0.736 0.639
26 B 0.300 0.264 0.361
27 B 0.608 0.609 0.342
28 B 0.392 0.391 0.658
29 B 0.550 0.910 0.873
30 B 0.450 0.090 0.127
31 B 0.456 0.616 0.658
32 B 0.544 0.384 0.342
33 B 0.409 0.892 0.212
34 B 0.591 0.108 0.788
35 B 0.307 0.803 0.918
36 B 0.693 0.197 0.082
37 B 0.091 0.661 0.950
38 B 0.909 0.339 0.050
39 B 0.050 0.877 0.897
40 B 0.950 0.123 0.103
41 P 0.918 0.472 0.876
42 P 0.082 0.528 0.124
43 P 0.906 0.934 0.365
44 P 0.094 0.066 0.635
45 P 0.408 0.795 0.401
46 P 0.592 0.205 0.599
47 P 0.410 0.302 0.858
48 P 0.590 0.698 0.142
49 O 0.998 0.785 0.581
50 O 0.002 0.215 0.419
51 O 0.993 0.766 0.921
52 O 0.007 0.234 0.079
53 O 0.960 0.974 0.869
54 O 0.040 0.026 0.131
55 O 0.951 0.363 0.948
56 O 0.049 0.637 0.052
57 O 0.950 0.430 0.397
58 O 0.050 0.570 0.603
59 O 0.937 0.004 0.607
60 O 0.063 0.996 0.393
61 O 0.939 0.821 0.297
62 O 0.061 0.179 0.703
63 O 0.934 0.445 0.122
64 O 0.066 0.555 0.878
65 O 0.911 0.410 0.771
66 O 0.089 0.590 0.229
67 O 0.834 0.889 0.464
68 O 0.166 0.111 0.536
69 O 0.804 0.639 0.629
70 O 0.196 0.361 0.371
71 O 0.780 0.546 0.909
72 O 0.220 0.454 0.091
73 O 0.753 0.085 0.806
74 O 0.247 0.915 0.194
75 O 0.753 0.570 0.385
76 O 0.247 0.430 0.615
77 O 0.742 0.855 0.623
78 O 0.258 0.145 0.377
79 O 0.732 0.280 0.627
80 O 0.268 0.720 0.373
81 O 0.709 0.784 0.101
82 O 0.291 0.216 0.899
83 O 0.707 0.891 0.882
84 O 0.293 0.109 0.118
85 O 0.657 0.652 0.244
86 O 0.343 0.348 0.756
87 O 0.562 0.232 0.831
88 O 0.438 0.768 0.169
89 O 0.553 0.716 0.666
90 O 0.447 0.284 0.334
91 O 0.549 0.708 0.408
92 O 0.451 0.292 0.592
93 O 0.502 0.497 0.668
94 O 0.498 0.503 0.332
95 O 0.506 0.988 0.170
96 O 0.494 0.012 0.830
97 O 0.461 0.819 0.909
98 O 0.539 0.181 0.091
99 O 0.442 0.897 0.322
100 O 0.558 0.103 0.678
101 O 0.451 0.413 0.925
102 O 0.549 0.587 0.075
103 O 0.402 0.874 0.499
104 O 0.598 0.126 0.501
105 O 0.304 0.647 0.638
106 O 0.696 0.353 0.362
107 O 0.254 0.691 0.944
108 O 0.746 0.309 0.056
109 O 0.206 0.900 0.898
110 O 0.794 0.100 0.102
111 O 0.203 0.976 0.682
112 O 0.797 0.024 0.318

***

Record 8
A plane-wave DFT calculation with PBE-GGA was carried out for MgSc3H after structural relaxation.

Computed properties:
- Total magnetization: 2.03 μB per cell
- Distance to the lowest polymorph of the same formula: 0.000 kcal/mol of atoms
- DFT total energy: -4.909 eV/atom
- Symmetry: No. 221

Cell lengths 4.578, 4.578, 4.578 Å; angles 90.00, 90.00, 90.00 degrees
Site moments in Bohr magnetons follow the coordinates.
Fractional coordinates of all 5 atoms:
1 Sc 0.000 0.500 0.000  0.48
2 Sc 0.000 0.000 0.500  0.40
3 Sc 0.500 0.000 0.000  0.40
4 H 0.000 0.000 0.000  -0.01
5 Mg 0.500 0.500 0.500  0.00